Crystalline Mn3ZnO6 at its relaxed geometry. Source: Alexandria, functional GGA+U.

a = 5.019 Å, b = 5.068 Å, c = 9.775 Å
α = 90.00°, β = 119.23°, γ = 90.00°
Atoms (fractional coordinates):
Mn  0.000  0.000  0.000
Mn  0.000  0.500  0.500
Mn  0.297  0.012  0.800
Mn  0.297  0.488  0.300
Mn  0.703  0.512  0.700
Mn  0.703  0.988  0.200
Zn  0.500  0.000  0.500
Zn  0.500  0.500  0.000
O  0.032  0.236  0.846
O  0.032  0.264  0.346
O  0.306  0.686  0.485
O  0.306  0.814  0.985
O  0.347  0.216  0.167
O  0.347  0.284  0.667
O  0.653  0.716  0.333
O  0.653  0.784  0.833
O  0.694  0.186  0.015
O  0.694  0.314  0.515
O  0.968  0.736  0.654
O  0.968  0.764  0.154

Calculated values
The space group is P2_1/c, No. 14. Its density of states at the Fermi level is 1.38 states/eV per cell. For the total magnetization, the calculation gives 1.100 μB per atom. The calculated volume comes out at 108 Å³/f.u. The value obtained for the total energy is -135.15 eV/cell.